DFT (PBE) results for a relaxed Hf2FeAuN crystal.

Summary:
magnetization = 2.0 μB per formula unit
N(E_F) = 2.34 states/eV/f.u.
formation energy from raw total energies = -0.790 eV per atom

a b c (Å): 4.4683 4.4683 3.8065
angles (deg): 90.00 90.00 90.00
Closest atoms and distances in Å follow each position.
Atoms (fractional coordinates):
Hf (0.0000, 0.5000, 0.0000)  2 N 2.23
Hf (0.5000, 0.0000, 0.0000)  2 N 2.23
Fe (0.0000, 0.0000, 0.5000)  2 N 1.90
Au (0.5000, 0.5000, 0.5000)  8 Hf 2.93, 4 Fe 3.16
N (0.0000, 0.0000, 0.0000)  2 Fe 1.90

=====

DFT (PBE) results for a relaxed RbAs2Au2 crystal.

Summary:
magnetization = 0.0 μB per formula unit
formation energy = 7 kJ/mol of atoms
N(E_F) = 1.56 states/eV/f.u.

a b c (Å): 8.6562 8.6562 2.9883
angles (deg): 90.00 90.00 90.00
Closest atoms and distances in Å follow each position.
Atoms (fractional coordinates):
Rb (0.0000, 0.0000, 0.0000)  2 Rb 2.99
Rb (0.5000, 0.5000, 0.0000)  2 Rb 2.99
As (0.1391, 0.3609, 0.0000)  6 Au 2.90-2.98, 2 As 2.99
As (0.3609, 0.8609, 0.0000)  6 Au 2.90-2.98, 2 As 2.99
As (0.6391, 0.1391, 0.0000)  6 Au 2.90-2.98, 2 As 2.99
As (0.8609, 0.6391, 0.0000)  6 Au 2.90-2.98, 2 As 2.99
Au (0.1576, 0.6576, 0.5000)  6 As 2.90-2.98, 2 Au 2.99
Au (0.3424, 0.1576, 0.5000)  6 As 2.90-2.98, 2 Au 2.99
Au (0.6576, 0.8424, 0.5000)  6 As 2.90-2.98, 2 Au 2.99
Au (0.8424, 0.3424, 0.5000)  6 As 2.90-2.98, 2 Au 2.99

=====

DFT (PBE) results for a relaxed Hf4Tc crystal.

Summary:
magnetization = 0.0 μB per formula unit
formation energy = 51 kJ/mol of atoms
N(E_F) = 7.36 states/eV/f.u.

a b c (Å): 4.9522 4.9522 4.9522
angles (deg): 90.00 90.00 90.00
Closest atoms and distances in Å follow each position.
Atoms (fractional coordinates):
Hf (0.0000, 0.0000, 0.0000)  12 Hf 3.50
Hf (0.0000, 0.5000, 0.5000)  2 Tc 2.48
Hf (0.5000, 0.0000, 0.5000)  2 Tc 2.48
Hf (0.5000, 0.5000, 0.0000)  2 Tc 2.48
Tc (0.5000, 0.5000, 0.5000)  6 Hf 2.48

=====

DFT (PBE) results for a relaxed TaCd2AsW crystal.

Summary:
magnetization = 0.0 μB per formula unit
formation energy = 148 kJ/mol of atoms
N(E_F) = 3.64 states/eV/f.u.

a b c (Å): 4.8902 4.8902 4.7124
angles (deg): 90.00 90.00 90.00
Closest atoms and distances in Å follow each position.
Atoms (fractional coordinates):
Ta (0.0000, 0.0000, 0.0000)  8 Cd 3.40, 4 W 3.46
Cd (0.0000, 0.5000, 0.5000)  2 As 2.45
Cd (0.5000, 0.0000, 0.5000)  2 As 2.45
As (0.5000, 0.5000, 0.5000)  2 W 2.36, 4 Cd 2.45
W (0.5000, 0.5000, 0.0000)  2 As 2.36

=====

DFT (PBE) results for a relaxed Pu3GaO crystal.

Summary:
magnetization = 17.0 μB per formula unit
N(E_F) = 21.71 states/eV/f.u.
formation energy from raw total energies = -0.992 eV per atom

a b c (Å): 4.7898 4.7898 4.7898
angles (deg): 90.00 90.00 90.00
Closest atoms and distances in Å follow each position.
Atoms (fractional coordinates):
Pu (0.0000, 0.0000, 0.5000)  2 O 2.39
Pu (0.0000, 0.5000, 0.0000)  2 O 2.39
Pu (0.5000, 0.0000, 0.0000)  2 O 2.39
Ga (0.5000, 0.5000, 0.5000)  12 Pu 3.39
O (0.0000, 0.0000, 0.0000)  6 Pu 2.39

=====

DFT (PBE) results for a relaxed BaYHgTe3 crystal.

Summary:
magnetization = 0.0 μB per formula unit
N(E_F) = 0.55 states/eV/f.u.
formation energy from raw total energies = -1.177 eV per atom

a b c (Å): 8.9036 4.4768 10.8733
angles (deg): 90.00 104.95 90.00
Closest atoms and distances in Å follow each position.
Atoms (fractional coordinates):
Ba (0.2278, 0.2500, 0.2839)  7 Te 3.49-3.74, 1 Hg 3.51
Ba (0.7722, 0.7500, 0.7161)  7 Te 3.49-3.74, 1 Hg 3.51
Y (0.3321, 0.7500, 0.8335)  6 Te 3.10-3.12
Y (0.6679, 0.2500, 0.1665)  6 Te 3.10-3.12
Hg (0.1048, 0.2500, 0.5661)  3 Te 2.98-3.15, 2 Hg 3.03
Hg (0.8952, 0.7500, 0.4339)  3 Te 2.98-3.15, 2 Hg 3.03
Te (0.0892, 0.2500, 0.8371)  1 Hg 2.98, 2 Y 3.12
Te (0.3482, 0.7500, 0.5521)  1 Y 3.10, 2 Hg 3.15
Te (0.4182, 0.7500, 0.1289)  3 Y 3.10-3.11
Te (0.5818, 0.2500, 0.8711)  3 Y 3.10-3.11
Te (0.6518, 0.2500, 0.4479)  1 Y 3.10, 2 Hg 3.15
Te (0.9108, 0.7500, 0.1629)  1 Hg 2.98, 2 Y 3.12

=====

DFT (PBE) results for a relaxed KVP2S7 crystal.

Summary:
magnetization = 2.0 μB per formula unit
N(E_F) = 3.17 states/eV/f.u.
formation energy from raw total energies = -0.582 eV per atom

a b c (Å): 6.5310 6.5310 6.5917
angles (deg): 95.35 95.35 96.95
Closest atoms and distances in Å follow each position.
Atoms (fractional coordinates):
K (0.0000, 0.0000, 0.0000)  8 S 3.45-3.74
V (0.6142, 0.3858, 0.5000)  6 S 2.42-2.48
P (0.0612, 0.5378, 0.4195)  4 S 2.03-2.16
P (0.4622, 0.9388, 0.5805)  4 S 2.03-2.16
S (0.1312, 0.8688, 0.5000)  2 P 2.16
S (0.2942, 0.4240, 0.2813)  1 P 2.03
S (0.4819, 0.1995, 0.7784)  1 P 2.03
S (0.5760, 0.7058, 0.7187)  1 P 2.03
S (0.5879, 0.0380, 0.3288)  1 P 2.04
S (0.8005, 0.5181, 0.2216)  1 P 2.03
S (0.9620, 0.4121, 0.6712)  1 P 2.04

=====

DFT (PBE) results for a relaxed PrErGa crystal.

Summary:
magnetization = 0.0 μB per formula unit
formation energy = -22 kJ/mol of atoms
N(E_F) = 4.74 states/eV/f.u.

a b c (Å): 5.0375 5.0375 5.0375
angles (deg): 60.00 60.00 60.00
Closest atoms and distances in Å follow each position.
Atoms (fractional coordinates):
Pr (0.0000, 0.0000, 0.0000)  4 Ga 3.08
Er (0.5000, 0.5000, 0.5000)  4 Ga 3.08
Ga (0.2500, 0.2500, 0.2500)  4 Pr 3.08, 4 Er 3.08

=====

Question: N(E_F) of number 6 (BaYHgTe3)?
Answer: 0.55 states/eV/f.u.